1.
The following is a PBE-GGA calculation of LaHg3Bi after structural relaxation, from Alexandria.

Unit cell a=7.636 b=8.407 c=8.753 alpha=90.00 beta=90.00 gamma=90.00
Atoms (fractional coordinates):
La: 0.750 0.361 0.689
La: 0.250 0.139 0.189
La: 0.250 0.639 0.311
La: 0.750 0.861 0.811
Hg: 0.942 0.860 0.162
Hg: 0.442 0.640 0.662
Hg: 0.058 0.640 0.662
Hg: 0.442 0.140 0.838
Hg: 0.058 0.140 0.838
Hg: 0.558 0.360 0.338
Hg: 0.942 0.360 0.338
Hg: 0.558 0.860 0.162
Hg: 0.750 0.174 0.069
Hg: 0.250 0.326 0.569
Hg: 0.250 0.826 0.931
Hg: 0.750 0.674 0.431
Bi: 0.000 0.000 0.500
Bi: 0.500 0.500 0.000
Bi: 0.000 0.500 0.000
Bi: 0.500 0.000 0.500



2.
The following is a PBE-GGA calculation of LaHg3Bi after structural relaxation, from Alexandria.

Unit cell a=5.916 b=5.916 c=5.916 alpha=90.00 beta=90.00 gamma=90.00
Atoms (fractional coordinates):
La: 0.000 0.000 0.000
Bi: 0.500 0.500 0.500
Hg: 0.000 0.500 0.000
Hg: 0.000 0.000 0.500
Hg: 0.500 0.000 0.000



3.
The following is a PBE-GGA calculation of LaHg3Bi after structural relaxation, from Alexandria.

Unit cell a=5.653 b=5.653 c=5.653 alpha=90.00 beta=90.00 gamma=90.00
Atoms (fractional coordinates):
La: 0.500 0.500 0.500
Bi: 0.000 0.000 0.000
Hg: 0.000 0.500 0.000
Hg: 0.000 0.000 0.500
Hg: 0.500 0.000 0.000



What should be chosen as the most stable of them? Choose 1.



1.
The following is a PBE-GGA calculation of LaHg2Bi2 after structural relaxation, from Alexandria.

Unit cell a=8.569 b=8.569 c=4.124 alpha=90.00 beta=90.00 gamma=90.00
Atoms (fractional coordinates):
La: 0.000 0.000 0.000
La: 0.500 0.500 0.000
Bi: 0.365 0.865 0.000
Bi: 0.865 0.635 0.000
Bi: 0.635 0.135 0.000
Bi: 0.135 0.365 0.000
Hg: 0.163 0.663 0.500
Hg: 0.663 0.837 0.500
Hg: 0.837 0.337 0.500
Hg: 0.337 0.163 0.500



2.
The following is a PBE-GGA calculation of LaHg2Bi2 after structural relaxation, from Alexandria.

Unit cell a=4.359 b=4.359 c=9.394 alpha=76.58 beta=76.58 gamma=90.00
Atoms (fractional coordinates):
La: 0.000 0.000 0.000
Bi: 0.414 0.414 0.173
Bi: 0.586 0.586 0.827
Hg: 0.750 0.250 0.500
Hg: 0.250 0.750 0.500



What should be chosen as the most stable of them? Choose 2.



1.
The following is a PBE-GGA calculation of LaHg2Bi2 after structural relaxation, from Alexandria.

Unit cell a=4.774 b=4.774 c=7.680 alpha=71.89 beta=71.89 gamma=90.00
Atoms (fractional coordinates):
La: 0.000 0.000 0.000
Bi: 0.750 0.250 0.500
Bi: 0.250 0.750 0.500
Hg: 0.400 0.400 0.200
Hg: 0.600 0.600 0.800



2.
The following is a PBE-GGA calculation of LaHg2Bi2 after structural relaxation, from Alexandria.

Unit cell a=5.427 b=5.427 c=13.213 alpha=90.00 beta=90.00 gamma=120.00
Atoms (fractional coordinates):
La: 0.000 0.000 0.250
La: 0.000 0.000 0.750
Hg: 0.667 0.333 0.750
Hg: 0.000 0.000 0.000
Hg: 0.000 0.000 0.500
Hg: 0.333 0.667 0.250
Bi: 0.333 0.667 0.629
Bi: 0.667 0.333 0.129
Bi: 0.667 0.333 0.371
Bi: 0.333 0.667 0.871



3.
The following is a PBE-GGA calculation of LaHg2Bi2 after structural relaxation, from Alexandria.

Unit cell a=4.752 b=4.701 c=13.316 alpha=90.00 beta=100.28 gamma=90.00
Atoms (fractional coordinates):
La: 0.355 0.250 0.710
La: 0.645 0.750 0.290
Hg: 0.044 0.750 0.089
Hg: 0.458 0.750 0.916
Hg: 0.956 0.250 0.911
Hg: 0.542 0.250 0.084
Bi: 0.750 0.250 0.500
Bi: 0.250 0.750 0.500
Bi: 0.861 0.750 0.722
Bi: 0.139 0.250 0.278



What should be chosen as the most stable of them? Choose 3.



1.
The following is a PBE-GGA calculation of La2Hg2Bi after structural relaxation, from Alexandria.

Unit cell a=8.195 b=8.195 c=4.570 alpha=90.00 beta=90.00 gamma=90.00
Atoms (fractional coordinates):
La: 0.169 0.669 0.500
La: 0.669 0.831 0.500
La: 0.831 0.331 0.500
La: 0.331 0.169 0.500
Bi: 0.000 0.000 0.000
Bi: 0.500 0.500 0.000
Hg: 0.372 0.872 0.000
Hg: 0.872 0.628 0.000
Hg: 0.628 0.128 0.000
Hg: 0.128 0.372 0.000



2.
The following is a PBE-GGA calculation of La2Hg2Bi after structural relaxation, from Alexandria.

Unit cell a=4.235 b=4.235 c=9.365 alpha=76.93 beta=76.93 gamma=90.00
Site moments in Bohr magnetons follow the coordinates.
Atoms (fractional coordinates):
La: 0.397 0.397 0.205  0.15
La: 0.603 0.603 0.795  0.15
Bi: 0.000 0.000 0.000  -0.02
Hg: 0.750 0.250 0.500  0.02
Hg: 0.250 0.750 0.500  0.02



What should be chosen as the most stable of them? Choose 1.



1.
The following is a PBE-GGA calculation of La2Hg2Bi after structural relaxation, from Alexandria.

Unit cell a=5.984 b=5.984 c=6.374 alpha=62.00 beta=62.00 gamma=90.00
Atoms (fractional coordinates):
La: 0.750 0.250 0.500
La: 0.250 0.750 0.500
Bi: 0.000 0.000 0.000
Hg: 0.357 0.357 0.287
Hg: 0.643 0.643 0.713



2.
The following is a PBE-GGA calculation of La2Hg2Bi after structural relaxation, from Alexandria.

Unit cell a=8.949 b=8.949 c=4.006 alpha=90.00 beta=90.00 gamma=90.00
Atoms (fractional coordinates):
La: 0.331 0.831 0.000
La: 0.831 0.669 0.000
La: 0.669 0.169 0.000
La: 0.169 0.331 0.000
Bi: 0.000 0.000 0.000
Bi: 0.500 0.500 0.000
Hg: 0.130 0.630 0.500
Hg: 0.630 0.870 0.500
Hg: 0.870 0.370 0.500
Hg: 0.370 0.130 0.500



3.
The following is a PBE-GGA calculation of La2Hg2Bi after structural relaxation, from Alexandria.

Unit cell a=10.002 b=10.002 c=9.013 alpha=27.96 beta=27.96 gamma=26.79
Atoms (fractional coordinates):
La: 0.678 0.678 0.851
La: 0.322 0.322 0.149
Hg: 0.342 0.342 0.728
Hg: 0.658 0.658 0.272
Bi: 0.000 0.000 0.000



What should be chosen as the most stable of them? Choose 3.



1.
The following is a PBE-GGA calculation of La2HgBi2 after structural relaxation, from Alexandria.

Unit cell a=8.872 b=8.872 c=4.300 alpha=90.00 beta=90.00 gamma=90.00
Atoms (fractional coordinates):
La: 0.354 0.854 0.000
La: 0.854 0.646 0.000
La: 0.646 0.146 0.000
La: 0.146 0.354 0.000
Bi: 0.158 0.658 0.500
Bi: 0.658 0.842 0.500
Bi: 0.842 0.342 0.500
Bi: 0.342 0.158 0.500
Hg: 0.000 0.000 0.000
Hg: 0.500 0.500 0.000



2.
The following is a PBE-GGA calculation of La2HgBi2 after structural relaxation, from Alexandria.

Unit cell a=8.733 b=8.733 c=4.350 alpha=90.00 beta=90.00 gamma=90.00
Atoms (fractional coordinates):
La: 0.158 0.658 0.500
La: 0.658 0.842 0.500
La: 0.842 0.342 0.500
La: 0.342 0.158 0.500
Bi: 0.351 0.851 0.000
Bi: 0.851 0.649 0.000
Bi: 0.649 0.149 0.000
Bi: 0.149 0.351 0.000
Hg: 0.000 0.000 0.000
Hg: 0.500 0.500 0.000



What should be chosen as the most stable of them? Choose 1.



1.
The following is a PBE-GGA calculation of La3HgBi after structural relaxation, from Alexandria.

Unit cell a=5.901 b=5.901 c=5.901 alpha=90.00 beta=90.00 gamma=90.00
Atoms (fractional coordinates):
La: 0.000 0.500 0.000
La: 0.000 0.000 0.500
La: 0.500 0.000 0.000
Bi: 0.500 0.500 0.500
Hg: 0.000 0.000 0.000



2.
The following is a PBE-GGA calculation of La3HgBi after structural relaxation, from Alexandria.

Unit cell a=4.574 b=10.000 c=9.675 alpha=119.34 beta=118.20 gamma=89.99
Atoms (fractional coordinates):
La: 0.333 0.456 0.583
La: 0.747 0.309 0.997
La: 0.089 0.071 0.339
La: 0.667 0.544 0.417
La: 0.911 0.929 0.661
La: 0.253 0.691 0.003
Hg: 0.622 0.852 0.873
Hg: 0.378 0.148 0.127
Bi: 0.946 0.280 0.696
Bi: 0.054 0.720 0.304



What should be chosen as the most stable of them? Choose 2.



1.
The following is a PBE-GGA calculation of LaHgBi after structural relaxation, from Alexandria.

Unit cell a=4.540 b=4.915 c=4.915 alpha=120.00 beta=90.00 gamma=90.00
Atoms (fractional coordinates):
La: 0.293 0.333 0.667
Bi: 0.712 0.667 0.333
Hg: 0.995 0.000 0.000



2.
The following is a PBE-GGA calculation of LaHgBi after structural relaxation, from Alexandria.

Unit cell a=4.412 b=4.412 c=5.783 alpha=112.43 beta=112.43 gamma=90.00
Atoms (fractional coordinates):
La: 0.609 0.609 0.219
Hg: 0.284 0.284 0.568
Bi: 0.956 0.956 0.913



What should be chosen as the most stable of them? Choose 1.



1.
The following is a PBE-GGA calculation of La2HgBi4 after structural relaxation, from Alexandria.

Unit cell a=6.867 b=6.867 c=6.947 alpha=119.93 beta=119.93 gamma=89.62
Atoms (fractional coordinates):
Bi: 0.786 0.786 0.072
Bi: 0.286 0.286 0.071
Bi: 0.786 0.286 0.071
Bi: 0.286 0.786 0.071
Hg: 0.786 0.786 0.572
La: 0.286 0.786 0.571
La: 0.786 0.286 0.571



2.
The following is a PBE-GGA calculation of La2HgBi4 after structural relaxation, from Alexandria.

Unit cell a=4.691 b=4.691 c=10.372 alpha=90.00 beta=90.00 gamma=90.00
Atoms (fractional coordinates):
La: 0.500 0.000 0.754
La: 0.000 0.500 0.246
Hg: 0.500 0.500 0.000
Bi: 0.500 0.000 0.184
Bi: 0.000 0.500 0.816
Bi: 0.500 0.500 0.500
Bi: 0.000 0.000 0.500



What should be chosen as the most stable of them? Choose 2.



1.
The following is a PBE-GGA calculation of La2HgBiPb after structural relaxation, from Alexandria.

Unit cell a=6.129 b=5.838 c=6.129 alpha=90.00 beta=90.00 gamma=90.00
Atoms (fractional coordinates):
Pb: 0.000 0.000 0.000
La: 0.000 0.000 0.500
La: 0.500 0.000 0.000
Bi: 0.000 0.500 0.000
Hg: 0.500 0.500 0.500



2.
The following is a PBE-GGA calculation of La2HgBiPb after structural relaxation, from Alexandria.

Unit cell a=6.004 b=5.434 c=6.004 alpha=90.00 beta=90.00 gamma=90.00
Atoms (fractional coordinates):
Pb: 0.000 0.500 0.000
La: 0.000 0.000 0.500
La: 0.500 0.000 0.000
Bi: 0.500 0.500 0.500
Hg: 0.000 0.000 0.000



What should be chosen as the most stable of them? Choose 2.



1.
The following is a PBE-GGA calculation of La2HgBiRh after structural relaxation, from Alexandria.

Unit cell a=5.478 b=5.478 c=5.181 alpha=90.00 beta=90.00 gamma=90.00
Atoms (fractional coordinates):
La: 0.000 0.500 0.000
La: 0.500 0.000 0.000
Rh: 0.000 0.000 0.000
Bi: 0.500 0.500 0.500
Hg: 0.000 0.000 0.500



2.
The following is a PBE-GGA calculation of La2HgBiRh after structural relaxation, from Alexandria.

Unit cell a=5.875 b=5.406 c=5.875 alpha=90.00 beta=90.00 gamma=90.00
Site moments in Bohr magnetons follow the coordinates.
Atoms (fractional coordinates):
La: 0.000 0.000 0.500  -0.02
La: 0.500 0.000 0.000  -0.02
Rh: 0.500 0.500 0.500  0.44
Bi: 0.000 0.500 0.000  0.02
Hg: 0.000 0.000 0.000  0.01



What should be chosen as the most stable of them? Choose 1.